1.
The following is a DFT calculation (GGA-PBEsol) of a relaxed SbTe2Au crystal.

Geometry as CIF:
```
data_SbTe2Au
_cell_length_a 4.169
_cell_length_b 5.869
_cell_length_c 8.547
_cell_angle_alpha 90.00
_cell_angle_beta 90.00
_cell_angle_gamma 90.00
_symmetry_space_group_name_H-M 'A m m 2'
_symmetry_Int_Tables_number 38
loop_
_symmetry_equiv_pos_as_xyz
'x,y,z'
'-x,-y,z'
'-x,y,z'
'x,-y,z'
'x,y+1/2,z+1/2'
'-x,-y+1/2,z+1/2'
'-x,y+1/2,z+1/2'
'x,-y+1/2,z+1/2'
loop_
_atom_site_label
_atom_site_fract_x
_atom_site_fract_y
_atom_site_fract_z
_atom_site_occupancy
Sb1 0.000 0.000 0.000 1
Te1 0.000 0.000 0.430 1
Te2 0.500 0.000 0.726 1
Au1 0.500 0.000 0.215 1
```

Formation energy without anion corrections   -0.084 eV per atom



2.
The following is a DFT calculation (GGA-PBEsol) of a relaxed SbAuC3 crystal.

Geometry as CIF:
```
data_SbAuC3
_cell_length_a 4.115
_cell_length_b 4.115
_cell_length_c 4.115
_cell_angle_alpha 90.00
_cell_angle_beta 90.00
_cell_angle_gamma 90.00
_symmetry_space_group_name_H-M 'P m -3 m'
_symmetry_Int_Tables_number 221
_symmetry_space_group_name_Hall '-P 4 2 3'
loop_
_atom_site_label
_atom_site_fract_x
_atom_site_fract_y
_atom_site_fract_z
_atom_site_occupancy
Sb1 0.000 0.000 0.000 1
Au1 0.500 0.500 0.500 1
C1 0.000 0.500 0.500 1
```

Formation energy without anion corrections   2.840 eV per atom



3.
The following is a DFT calculation (GGA-PBEsol) of a relaxed Mg2FePb crystal.

Geometry as CIF:
```
data_Mg2FePb
_cell_length_a 3.472
_cell_length_b 3.472
_cell_length_c 6.397
_cell_angle_alpha 90.00
_cell_angle_beta 90.00
_cell_angle_gamma 90.00
_symmetry_space_group_name_H-M 'P 4 m m'
_symmetry_Int_Tables_number 99
loop_
_symmetry_equiv_pos_as_xyz
'x,y,z'
'-y,x,z'
'-x,-y,z'
'y,-x,z'
'-x,y,z'
'y,x,z'
'x,-y,z'
'-y,-x,z'
loop_
_atom_site_label
_atom_site_fract_x
_atom_site_fract_y
_atom_site_fract_z
_atom_site_occupancy
Mg1 0.000 0.000 0.000 1
Mg2 0.500 0.500 0.268 1
Fe1 0.500 0.500 0.794 1
Pb1 0.000 0.000 0.558 1
```

Formation energy from the elements   273 meV per atom



no.,energy (eV per atom)
1,-3.97
2,-4.64
3,-3.83